# 1
Cs3NaBr4 | PBE | optimized geometry

a = 10.0517 Å, b = 14.0805 Å, c = 5.0449 Å
α = 90.00°, β = 90.00°, γ = 90.00°
Positions (direct):
Cs 0.0000 0.0000 0.0000
Cs 0.2500 0.2500 0.5000
Cs 0.2500 0.7500 0.5000
Cs 0.5000 0.5000 0.0000
Cs 0.7500 0.2500 0.5000
Cs 0.7500 0.7500 0.5000
Na 0.0000 0.5000 0.0000
Na 0.5000 0.0000 0.0000
Br 0.0000 0.2770 0.0000
Br 0.0000 0.7230 0.0000
Br 0.2273 0.5000 0.5000
Br 0.2727 0.0000 0.5000
Br 0.5000 0.2230 0.0000
Br 0.5000 0.7770 0.0000
Br 0.7273 0.0000 0.5000
Br 0.7727 0.5000 0.5000

Summary:
Crystal system = orthorhombic
Calculated density = 3.45 Mg/m³
Formation energy from raw total energies = -1.68 eV/atom
Space group = Cmmm, No. 65
Uncorrected energy = -2.998 eV/atom



# 2
CoTcMo | PBE | optimized geometry

a = 3.1610 Å, b = 3.1610 Å, c = 8.4138 Å
α = 90.00°, β = 90.00°, γ = 90.00°
Positions (direct):
Co 0.0000 0.0000 0.0000
Co 0.5000 0.5000 0.5000
Tc 0.0000 0.0000 0.3297
Tc 0.5000 0.5000 0.8297
Mo 0.0000 0.0000 0.6636
Mo 0.5000 0.5000 0.1636

Summary:
Crystal system = tetragonal
Calculated density = 9.99 Mg/m³
E above lowest polymorph = 0.083 eV per atom
Formation energy from the elements = 0.18 eV per atom
Space group = I4mm, No. 107
Uncorrected energy = -9.259 eV/atom



# 3
Ac3B2N6 | PBE | optimized geometry

a = 10.9481 Å, b = 10.9481 Å, c = 10.9481 Å
α = 160.03°, β = 160.03°, γ = 28.39°
Positions (direct):
Ac 0.0000 0.0000 0.0000
Ac 0.1780 0.1780 0.0000
Ac 0.8220 0.8220 0.0000
B 0.3796 0.3796 0.0000
B 0.6204 0.6204 0.0000
N 0.0895 0.5895 0.5000
N 0.3118 0.3118 0.0000
N 0.4105 0.9105 0.5000
N 0.5895 0.0895 0.5000
N 0.6882 0.6882 0.0000
N 0.9105 0.4105 0.5000

Summary:
Crystal system = tetragonal
Calculated density = 8.54 Mg/m³
Formation energy from raw total energies = -0.33 eV/atom
Space group = I4/mmm, No. 139
Uncorrected energy = -7.208 eV/atom



# 4
Ba3Li2Pd3 | PBE | optimized geometry

a = 8.2331 Å, b = 16.0460 Å, c = 6.8979 Å
α = 90.00°, β = 90.00°, γ = 90.00°
Positions (direct):
Ba 0.0103 0.1047 0.1553
Ba 0.0103 0.3953 0.1553
Ba 0.1277 0.7500 0.3813
Ba 0.3723 0.2500 0.8813
Ba 0.4897 0.6047 0.6553
Ba 0.4897 0.8953 0.6553
Ba 0.5103 0.1047 0.3447
Ba 0.5103 0.3953 0.3447
Ba 0.6277 0.7500 0.1187
Ba 0.8723 0.2500 0.6187
Ba 0.9897 0.6047 0.8447
Ba 0.9897 0.8953 0.8447
Li 0.1648 0.0863 0.6386
Li 0.1648 0.4137 0.6386
Li 0.3352 0.5863 0.1386
Li 0.3352 0.9137 0.1386
Li 0.6648 0.0863 0.8614
Li 0.6648 0.4137 0.8614
Li 0.8352 0.5863 0.3614
Li 0.8352 0.9137 0.3614
Pd 0.1398 0.5464 0.4243
Pd 0.1398 0.9536 0.4243
Pd 0.2238 0.2500 0.4207
Pd 0.2762 0.7500 0.9207
Pd 0.3602 0.0464 0.9243
Pd 0.3602 0.4536 0.9243
Pd 0.6398 0.5464 0.0757
Pd 0.6398 0.9536 0.0757
Pd 0.7238 0.2500 0.0793
Pd 0.7762 0.7500 0.5793
Pd 0.8602 0.0464 0.5757
Pd 0.8602 0.4536 0.5757

Summary:
Crystal system = orthorhombic
Calculated density = 5.43 Mg/m³
Formation energy from the elements = -0.40 eV per atom
Space group = Pnma, No. 62
Uncorrected energy = -3.550 eV/atom



# 5
LiPrGa4Ag2 | PBE | optimized geometry

a = 9.1200 Å, b = 9.1200 Å, c = 9.1200 Å
α = 28.51°, β = 28.51°, γ = 28.51°
Positions (direct):
Li 0.0000 0.0000 0.0000
Pr 0.5000 0.5000 0.5000
Ga 0.1041 0.1041 0.1041
Ga 0.3740 0.3740 0.3740
Ga 0.6260 0.6260 0.6260
Ga 0.8959 0.8959 0.8959
Ag 0.2658 0.2658 0.2658
Ag 0.7342 0.7342 0.7342

Summary:
Crystal system = trigonal
Calculated density = 6.98 Mg/m³
Formation energy from the elements = -0.30 eV per atom
Space group = R-3m, No. 166
Uncorrected energy = -3.367 eV/atom



# 6
Pr2Zn2GePd5 | PBE | optimized geometry

a = 9.9680 Å, b = 9.9680 Å, c = 3.7312 Å
α = 90.00°, β = 90.00°, γ = 90.00°
Positions (direct):
Pr 0.1787 0.3213 0.0000
Pr 0.3213 0.8213 0.0000
Pr 0.6787 0.1787 0.0000
Pr 0.8213 0.6787 0.0000
Zn 0.1197 0.6197 0.0000
Zn 0.3803 0.1197 0.0000
Zn 0.6197 0.8803 0.0000
Zn 0.8803 0.3803 0.0000
Ge 0.0000 0.0000 0.0000
Ge 0.5000 0.5000 0.0000
Pd 0.0000 0.5000 0.5000
Pd 0.0605 0.7962 0.5000
Pd 0.2038 0.0605 0.5000
Pd 0.2962 0.5605 0.5000
Pd 0.4395 0.2962 0.5000
Pd 0.5000 0.0000 0.5000
Pd 0.5605 0.7038 0.5000
Pd 0.7038 0.4395 0.5000
Pd 0.7962 0.9395 0.5000
Pd 0.9395 0.2038 0.5000

Summary:
Crystal system = tetragonal
Calculated density = 9.11 Mg/m³
Formation energy from the elements = -0.60 eV per atom
Space group = P4/mbm, No. 127
Uncorrected energy = -4.867 eV/atom



# 7
Nb2V3As2 | PBE | optimized geometry

a = 9.7252 Å, b = 3.4344 Å, c = 6.9323 Å
α = 90.00°, β = 110.54°, γ = 90.00°
Positions (direct):
Nb 0.1050 0.0000 0.2565
Nb 0.3950 0.5000 0.7435
Nb 0.6050 0.5000 0.2565
Nb 0.8950 0.0000 0.7435
V 0.0000 0.5000 0.5000
V 0.1297 0.5000 0.9400
V 0.3703 0.0000 0.0600
V 0.5000 0.0000 0.5000
V 0.6297 0.0000 0.9400
V 0.8703 0.5000 0.0600
As 0.1738 0.0000 0.7044
As 0.3262 0.5000 0.2956
As 0.6738 0.5000 0.7044
As 0.8262 0.0000 0.2956

Summary:
Crystal system = monoclinic
Calculated density = 7.48 Mg/m³
Formation energy from the elements = -0.41 eV per atom
Space group = C2/m, No. 12
Uncorrected energy = -8.525 eV/atom



# 8
SrZr2Rh | PBE | optimized geometry

a = 5.6760 Å, b = 10.2210 Å, c = 3.1472 Å
α = 90.00°, β = 90.00°, γ = 90.00°
Positions (direct):
Sr 0.0000 0.0000 0.0000
Sr 0.5000 0.5000 0.0000
Zr 0.2500 0.2500 0.5000
Zr 0.2500 0.7500 0.5000
Zr 0.7500 0.2500 0.5000
Zr 0.7500 0.7500 0.5000
Rh 0.0000 0.5000 0.0000
Rh 0.5000 0.0000 0.0000

Summary:
Crystal system = orthorhombic
Calculated density = 6.78 Mg/m³
E above lowest polymorph = 0.556 eV per atom
Formation energy from the elements = 0.38 eV per atom
Space group = Cmmm, No. 65
Uncorrected energy = -6.153 eV/atom



# 9
K2Rb5Hg12 | PBE | optimized geometry

a = 11.1085 Å, b = 11.1085 Å, c = 8.4929 Å
α = 95.39°, β = 95.39°, γ = 43.45°
Positions (direct):
K 0.2430 0.7570 0.0000
K 0.7570 0.2430 0.0000
Rb 0.1968 0.1968 0.0516
Rb 0.2599 0.2599 0.5708
Rb 0.5000 0.5000 0.5000
Rb 0.7401 0.7401 0.4292
Rb 0.8032 0.8032 0.9484
Hg 0.0433 0.0433 0.6777
Hg 0.0830 0.7037 0.6378
Hg 0.1623 0.5567 0.2676
Hg 0.2963 0.9170 0.3622
Hg 0.3642 0.3642 0.9364
Hg 0.4433 0.8377 0.7324
Hg 0.5567 0.1623 0.2676
Hg 0.6358 0.6358 0.0636
Hg 0.7037 0.0830 0.6378
Hg 0.8377 0.4433 0.7324
Hg 0.9170 0.2963 0.3622
Hg 0.9567 0.9567 0.3223

Summary:
Crystal system = monoclinic
Calculated density = 6.75 Mg/m³
Formation energy from the elements = -0.22 eV per atom
Space group = C2/m, No. 12
Uncorrected energy = -0.784 eV/atom



# 10
Co3Br | PBE | optimized geometry

a = 2.9378 Å, b = 4.2205 Å, c = 8.5250 Å
α = 90.00°, β = 90.00°, γ = 90.00°
Positions (direct):
Co 0.0000 0.0000 0.0000
Co 0.0000 0.5000 0.2400
Co 0.0000 0.5000 0.7600
Co 0.5000 0.0000 0.2600
Co 0.5000 0.0000 0.7400
Co 0.5000 0.5000 0.5000
Br 0.0000 0.0000 0.5000
Br 0.5000 0.5000 0.0000

Summary:
Crystal system = orthorhombic
Calculated density = 8.07 Mg/m³
E above lowest polymorph = 0.435 eV per atom
Formation energy from raw total energies = 0.75 eV/atom
Space group = Immm, No. 71
Uncorrected energy = -4.998 eV/atom



# 11
MnOs2Cl | PBE | optimized geometry

a = 5.5304 Å, b = 5.5304 Å, c = 9.7808 Å
α = 90.00°, β = 90.00°, γ = 90.00°
Positions (direct):
Mn 0.0000 0.0000 0.0000
Mn 0.0000 0.5000 0.2500
Mn 0.5000 0.0000 0.7500
Mn 0.5000 0.5000 0.5000
Os 0.2305 0.2500 0.1250
Os 0.2500 0.7305 0.3750
Os 0.2500 0.7695 0.8750
Os 0.2695 0.2500 0.6250
Os 0.7305 0.7500 0.6250
Os 0.7500 0.2305 0.8750
Os 0.7500 0.2695 0.3750
Os 0.7695 0.7500 0.1250
Cl 0.0000 0.0000 0.5000
Cl 0.0000 0.5000 0.7500
Cl 0.5000 0.0000 0.2500
Cl 0.5000 0.5000 0.0000

Summary:
Crystal system = tetragonal
Calculated density = 10.45 Mg/m³
E above lowest polymorph = 1.052 eV per atom
Formation energy from raw total energies = 1.37 eV/atom
Space group = I-42d, No. 122
Uncorrected energy = -7.000 eV/atom



# 12
AlFeGe | PBE | optimized geometry

a = 12.3371 Å, b = 3.0059 Å, c = 4.8571 Å
α = 90.00°, β = 99.35°, γ = 90.00°
Positions (direct):
Al 0.1475 0.0000 0.2184
Al 0.3525 0.5000 0.7816
Al 0.6475 0.5000 0.2184
Al 0.8525 0.0000 0.7816
Fe 0.0000 0.0000 0.5000
Fe 0.0000 0.5000 0.0000
Fe 0.5000 0.0000 0.0000
Fe 0.5000 0.5000 0.5000
Ge 0.1443 0.5000 0.7183
Ge 0.3557 0.0000 0.2817
Ge 0.6443 0.0000 0.7183
Ge 0.8557 0.5000 0.2817

Summary:
Crystal system = monoclinic
Calculated density = 5.81 Mg/m³
Formation energy from the elements = -0.07 eV per atom
Space group = C2/m, No. 12
Uncorrected energy = -5.681 eV/atom